[1]
Below is a relaxed NiBr2 crystal, with properties calculated at the PBE level.

Cell: 7.304 7.304 7.304 Å, 154.17 154.17 36.85°
Site moments in Bohr magnetons follow the coordinates.
Fractional positions:
Br (0.386, 0.386, 0.000)  0.31
Br (0.614, 0.614, 0.000)  0.31
Ni (0.000, 0.000, 0.000)  1.27

Values from the calculation:
- mass density (g/cm3) = 4.91
- magnetic moment (μB/cell) = 2.007
- uncorrected energy (eV per atom) = -2.8060

[2]
Below is a relaxed NaAg2Hg crystal, with properties calculated at the PBE level.

Cell: 3.708 3.708 6.184 Å, 90.00 90.00 90.00°
Fractional positions:
Na (0.500, 0.500, 0.000)
Hg (0.500, 0.500, 0.500)
Ag (0.000, 0.000, 0.749)
Ag (0.000, 0.000, 0.251)

Values from the calculation:
- mass density (g/cm3) = 8.58
- magnetic moment (μB/cell) = 0.000
- ΔE_f (meV/atom) = 46
- uncorrected energy (eV per atom) = -1.7849

[3]
Below is a relaxed La7NdY12 crystal, with properties calculated at the PBE level.

Cell: 8.915 8.915 8.915 Å, 86.21 86.21 86.21°
Fractional positions:
La (0.838, 0.607, 0.919)
La (0.393, 0.081, 0.162)
La (0.081, 0.162, 0.393)
La (0.500, 0.500, 0.500)
La (0.919, 0.838, 0.607)
La (0.607, 0.919, 0.838)
La (0.162, 0.393, 0.081)
Nd (0.000, 0.000, 0.000)
Y (0.857, 0.255, 0.726)
Y (0.745, 0.274, 0.143)
Y (0.618, 0.136, 0.497)
Y (0.864, 0.503, 0.382)
Y (0.274, 0.143, 0.745)
Y (0.503, 0.382, 0.864)
Y (0.497, 0.618, 0.136)
Y (0.726, 0.857, 0.255)
Y (0.136, 0.497, 0.618)
Y (0.382, 0.864, 0.503)
Y (0.255, 0.726, 0.857)
Y (0.143, 0.745, 0.274)

Values from the calculation:
- mass density (g/cm3) = 5.15
- magnetic moment (μB/cell) = 0.001
- ΔE_f (meV/atom) = 221
- uncorrected energy (eV per atom) = -5.6207

[4]
Below is a relaxed Sm5ThN5 crystal, with properties calculated at the PBE level.

Cell: 5.110 6.265 7.215 Å, 106.90 90.00 114.07°
Fractional positions:
Sm (0.677, 0.353, 0.331)
Sm (0.671, 0.342, 0.843)
Sm (0.000, 0.000, 0.500)
Sm (0.329, 0.658, 0.157)
Sm (0.323, 0.647, 0.669)
Th (0.000, 0.000, 0.000)
N (0.834, 0.667, 0.165)
N (0.836, 0.672, 0.670)
N (0.500, 0.000, 0.000)
N (0.164, 0.328, 0.330)
N (0.166, 0.333, 0.835)

Values from the calculation:
- mass density (g/cm3) = 8.75
- magnetic moment (μB/cell) = 0.018
- uncorrected energy (eV per atom) = -7.9737

[5]
Below is a relaxed CeTi2Nb crystal, with properties calculated at the PBE level.

Cell: 3.008 3.008 10.340 Å, 81.64 81.64 60.00°
Fractional positions:
Nb (0.000, 0.000, 0.000)
Ce (0.500, 0.500, 0.500)
Ti (0.258, 0.258, 0.226)
Ti (0.742, 0.742, 0.774)

Values from the calculation:
- mass density (g/cm3) = 6.84
- magnetic moment (μB/cell) = 0.003
- ΔE_f (meV/atom) = 222
- uncorrected energy (eV per atom) = -7.7259

[6]
Below is a relaxed OsRh2 crystal, with properties calculated at the PBE level.

Cell: 6.061 6.061 3.834 Å, 90.00 90.00 142.79°
Fractional positions:
Os (0.919, 0.081, 0.250)
Os (0.081, 0.919, 0.750)
Rh (0.579, 0.421, 0.250)
Rh (0.421, 0.579, 0.750)
Rh (0.253, 0.747, 0.250)
Rh (0.747, 0.253, 0.750)

Values from the calculation:
- mass density (g/cm3) = 15.45
- magnetic moment (μB/cell) = 0.000
- ΔE_f (meV/atom) = 48
- uncorrected energy (eV per atom) = -8.5961